No. 1
This record from Alexandria via LeMat-Bulk describes a relaxed structure of BeTl2Br. The functional is PBE-GGA.

a b c (Å): 6.402 6.402 6.405
angles (deg): 57.43 57.43 30.15
Element x y z (fractional)
Be1 0.462 0.462 0.431
Tl1 0.183 0.183 0.361
Tl2 0.013 0.013 0.015
Br1 0.842 0.842 0.693

Summary:
Density (g/cm³): 7.55
DOS(E_F) (states/eV per atom): 0.2614
Total moment (Bohr magnetons per cell): 0.00



No. 2
This record from Alexandria via LeMat-Bulk describes a relaxed structure of BeTl2Br. The functional is PBE-GGA.

a b c (Å): 3.690 3.690 7.795
angles (deg): 90.00 90.00 99.66
Element x y z (fractional)
Be1 0.500 0.500 0.250
Br1 0.500 0.500 0.750
Tl1 0.000 0.000 0.037
Tl2 0.000 0.000 0.463

Summary:
Density (g/cm³): 7.90
DOS(E_F) (states/eV per atom): 0.3308
Total moment (Bohr magnetons per cell): 0.00



No. 3
This record from Alexandria via LeMat-Bulk describes a relaxed structure of BeTl2Br. The functional is PBE-GGA.

a b c (Å): 3.639 3.639 10.506
angles (deg): 90.00 90.00 124.76
Element x y z (fractional)
Tl1 0.000 0.000 0.026
Tl2 0.500 0.500 0.307
Be1 0.000 0.000 0.515
Br1 0.500 0.500 0.653

Summary:
Density (g/cm³): 7.23
DOS(E_F) (states/eV per atom): 0.2768
Total moment (Bohr magnetons per cell): 0.00



No. 4
This record from Alexandria via LeMat-Bulk describes a relaxed structure of BeTlBr. The functional is PBE-GGA.

a b c (Å): 3.454 3.454 7.906
angles (deg): 90.00 90.00 120.00
Element x y z (fractional)
Br1 0.333 0.667 0.200
Tl1 0.667 0.333 0.759
Be1 0.000 0.000 0.041

Summary:
Density (g/cm³): 5.96
DOS(E_F) (states/eV per atom): 0.0128
Total moment (Bohr magnetons per cell): 0.00



No. 5
This record from Alexandria via LeMat-Bulk describes a relaxed structure of BeTl2Br. The functional is PBE-GGA.

a b c (Å): 3.895 3.895 7.565
angles (deg): 90.00 90.00 90.00
Element x y z (fractional)
Tl1 0.500 0.500 0.368
Tl2 0.000 0.000 0.996
Be1 0.000 0.000 0.351
Br1 0.500 0.500 0.786

Summary:
Density (g/cm³): 7.20
DOS(E_F) (states/eV per atom): 0.3066
Total moment (Bohr magnetons per cell): 0.00



No. 6
This record from Alexandria via LeMat-Bulk describes a relaxed structure of BeTl2Br. The functional is PBE-GGA.

a b c (Å): 6.534 6.534 6.534
angles (deg): 146.67 133.29 58.59
Element x y z (fractional)
Tl1 0.574 0.574 0.000
Tl2 0.926 0.926 0.000
Be1 0.750 0.250 0.500
Br1 0.250 0.750 0.500

Summary:
Density (g/cm³): 7.47
DOS(E_F) (states/eV per atom): 0.3031
Total moment (Bohr magnetons per cell): 0.00



No. 7
This record from Alexandria via LeMat-Bulk describes a relaxed structure of BeTl5Br8. The functional is PBE-GGA.

a b c (Å): 9.040 9.040 9.040
angles (deg): 119.97 90.06 119.97
Element x y z (fractional)
Tl1 0.347 0.229 0.114
Tl2 0.500 0.000 0.500
Tl3 0.885 0.771 0.118
Tl4 0.882 0.767 0.653
Tl5 0.886 0.233 0.115
Br1 0.108 0.739 0.371
Br2 0.629 0.737 0.369
Br3 0.150 0.298 0.849
Br4 0.550 0.702 0.852
Br5 0.148 0.699 0.850
Br6 0.632 0.263 0.892
Br7 0.151 0.301 0.450
Br8 0.631 0.261 0.368
Be1 0.250 0.500 0.750

Summary:
Density (g/cm³): 5.31
DOS(E_F) (states/eV per atom): 0.3019
Total moment (Bohr magnetons per cell): 0.00



No. 8
This record from Alexandria via LeMat-Bulk describes a relaxed structure of BeTl2Br. The functional is PBE-GGA.

a b c (Å): 6.659 6.659 6.659
angles (deg): 141.15 141.15 56.12
Element x y z (fractional)
Br1 0.750 0.250 0.500
Tl1 0.250 0.750 0.500
Tl2 0.000 0.000 0.000
Be1 0.500 0.500 0.000

Summary:
Density (g/cm³): 7.17
DOS(E_F) (states/eV per atom): 0.3558
Total moment (Bohr magnetons per cell): 0.00



no.,uncorrected formation energy (eV per atom)
1,0.06
2,0.27
3,0.04
4,0.05
5,0.19
6,0.28
7,-0.79
8,0.32